Record 1
Pm2TiSn3Rh4: relaxed, PBE-GGA.

Output
Space-group type: P-4m2 (115)
Calculated volume in Å³/atom: 21.0
M_tot in μB/cell: 0.00
E in eV per atom: -6.597

Cell: 4.3317 4.3317 11.1810 Å, 90.00 90.00 90.00°
Closest atoms and distances in Å follow each position.
Fractional positions:
Pm: 0.0000 0.5000 0.2474  6 Sn 3.32-3.56, 8 Rh 3.34-3.51, 2 Ti 3.56
Pm: 0.5000 0.0000 0.7526  6 Sn 3.32-3.56, 8 Rh 3.34-3.51, 2 Ti 3.56
Ti: 0.0000 0.0000 0.5000  4 Rh 2.64
Sn: 0.0000 0.5000 0.8681  5 Rh 2.61-2.62
Sn: 0.5000 0.0000 0.1319  5 Rh 2.61-2.62
Sn: 0.5000 0.5000 0.5000  4 Rh 2.64
Rh: 0.0000 0.0000 0.0000  4 Sn 2.62
Rh: 0.0000 0.5000 0.6345  3 Sn 2.61-2.64, 2 Ti 2.64
Rh: 0.5000 0.0000 0.3655  3 Sn 2.61-2.64, 2 Ti 2.64
Rh: 0.5000 0.5000 0.0000  4 Sn 2.62

***

Record 2
NaTh2Pt: relaxed, PBE-GGA.

Output
Space-group type: R-3m (166)
Calculated volume in Å³/atom: 35.8
M_tot in μB/cell: 0.00
E in eV per atom: -5.750

Cell: 11.4078 11.4078 11.4078 Å, 19.41 19.41 19.41°
Closest atoms and distances in Å follow each position.
Fractional positions:
Na: 0.0000 0.0000 0.0000  2 Th 3.75, 6 Na 3.85
Th: 0.1117 0.1117 0.1117  3 Pt 2.89
Th: 0.8883 0.8883 0.8883  3 Pt 2.89
Pt: 0.5000 0.5000 0.5000  6 Th 2.89

***

Record 3
K4Au2ICl: relaxed, PBE-GGA.

Output
Raw formation energy in meV per atom: -970
Space-group type: P2/m (10)
Calculated volume in Å³/atom: 39.5
M_tot in μB/cell: 0.00
E in eV per atom: -2.763

Cell: 8.3411 4.7823 8.3779 Å, 90.00 109.11 90.00°
Closest atoms and distances in Å follow each position.
Fractional positions:
K: 0.2333 0.0000 0.2407  2 Cl 3.32, 3 Au 3.36-3.50, 1 I 3.46
K: 0.2347 0.5000 0.7499  1 Cl 3.30, 3 Au 3.35-3.51, 2 I 3.46
K: 0.7653 0.5000 0.2501  1 Cl 3.30, 3 Au 3.35-3.51, 2 I 3.46
K: 0.7667 0.0000 0.7593  2 Cl 3.32, 3 Au 3.36-3.50, 1 I 3.46
Au: 0.0000 0.0000 0.5000  6 K 3.35-3.36
Au: 0.5000 0.5000 0.5000  6 K 3.50-3.51
I: 0.5000 0.0000 0.0000  6 K 3.46
Cl: 0.0000 0.5000 0.0000  6 K 3.30-3.32

***

Record 4
Tb2PrY: relaxed, PBE-GGA.

Output
Space-group type: R-3m (166)
Calculated volume in Å³/atom: 33.0
Relative energy among the computed polymorphs in eV per atom: 0.012
M_tot in μB/cell: 0.00
E in eV per atom: -5.107

Cell: 11.9324 11.9324 11.9324 Å, 17.37 17.37 17.37°
Closest atoms and distances in Å follow each position.
Fractional positions:
Tb: 0.2487 0.2487 0.2487  3 Y 3.56, 6 Tb 3.60, 3 Pr 3.64
Tb: 0.7513 0.7513 0.7513  3 Y 3.56, 6 Tb 3.60, 3 Pr 3.64
Pr: 0.0000 0.0000 0.0000  6 Pr 3.60, 6 Tb 3.64
Y: 0.5000 0.5000 0.5000  6 Tb 3.56, 6 Y 3.60